Material: YI
Method: DFT, PBE
State: optimized geometry

a b c (Å): 11.518 11.518 3.854
angles (deg): 90.00 90.00 120.00
Positions (direct):
Y: 0.135 0.510 0.250
Y: 0.375 0.865 0.250
Y: 0.490 0.625 0.250
Y: 0.510 0.375 0.750
Y: 0.625 0.135 0.750
Y: 0.865 0.490 0.750
I: 0.056 0.729 0.250
I: 0.271 0.327 0.250
I: 0.327 0.056 0.750
I: 0.673 0.944 0.250
I: 0.729 0.673 0.750
I: 0.944 0.271 0.750

Output
As for the uncorrected formation energy: -0.67 eV/atom.